1.
The following is a GGA-PBE calculation of Li2TlZn after structural relaxation, from Alexandria.

**Energy of formation**: -0.79 kJ/mol of atoms
**Space group**: I-42d, No. 122

Cell lengths 7.474, 7.474, 5.827 Å; angles 90.00, 90.00, 90.00 degrees
Atoms (fractional coordinates):
Li (0.229, 0.250, 0.125)
Li (0.250, 0.729, 0.375)
Li (0.250, 0.771, 0.875)
Li (0.271, 0.250, 0.625)
Li (0.729, 0.750, 0.625)
Li (0.750, 0.229, 0.875)
Li (0.750, 0.271, 0.375)
Li (0.771, 0.750, 0.125)
Tl (0.000, 0.000, 0.500)
Tl (0.000, 0.500, 0.750)
Tl (0.500, 0.000, 0.250)
Tl (0.500, 0.500, 0.000)
Zn (0.000, 0.000, 0.000)
Zn (0.000, 0.500, 0.250)
Zn (0.500, 0.000, 0.750)
Zn (0.500, 0.500, 0.500)

=====

2.
The following is a GGA-PBE calculation of LiTlZn2 after structural relaxation, from Alexandria.

**Energy of formation**: -2.21 kJ/mol of atoms
**Space group**: Pmmm, No. 47

Cell lengths 4.010, 4.183, 4.395 Å; angles 90.00, 90.00, 90.00 degrees
Atoms (fractional coordinates):
Li (0.000, 0.000, 0.000)
Tl (0.500, 0.500, 0.000)
Zn (0.000, 0.500, 0.500)
Zn (0.500, 0.000, 0.500)

=====

3.
The following is a GGA-PBE calculation of LiTl2Zn after structural relaxation, from Alexandria.

**Energy of formation**: 4.18 kJ/mol of atoms
**Space group**: F-43m, No. 216

Cell lengths 7.259, 7.259, 7.259 Å; angles 90.00, 90.00, 90.00 degrees
Atoms (fractional coordinates):
Li (0.000, 0.000, 0.000)
Li (0.000, 0.500, 0.500)
Li (0.500, 0.000, 0.500)
Li (0.500, 0.500, 0.000)
Tl (0.000, 0.000, 0.500)
Tl (0.000, 0.500, 0.000)
Tl (0.250, 0.250, 0.250)
Tl (0.250, 0.750, 0.750)
Tl (0.500, 0.000, 0.000)
Tl (0.500, 0.500, 0.500)
Tl (0.750, 0.250, 0.750)
Tl (0.750, 0.750, 0.250)
Zn (0.250, 0.250, 0.750)
Zn (0.250, 0.750, 0.250)
Zn (0.750, 0.250, 0.250)
Zn (0.750, 0.750, 0.750)

=====

4.
The following is a GGA-PBE calculation of LiTlZn2 after structural relaxation, from Alexandria.

**Energy of formation**: 3.09 kJ/mol of atoms
**Space group**: C2/m, No. 12

Cell lengths 5.586, 10.244, 3.160 Å; angles 90.00, 120.77, 90.00 degrees
Atoms (fractional coordinates):
Li (0.000, 0.000, 0.000)
Li (0.500, 0.500, 0.000)
Tl (0.000, 0.500, 0.000)
Tl (0.500, 0.000, 0.000)
Zn (0.250, 0.250, 0.000)
Zn (0.250, 0.750, 0.000)
Zn (0.750, 0.250, 0.000)
Zn (0.750, 0.750, 0.000)

=====

5.
The following is a GGA-PBE calculation of Li12Tl3Zn after structural relaxation, from Alexandria.

**Energy of formation**: -15.83 kJ/mol of atoms
**Space group**: P4/mmm, No. 123

Cell lengths 4.142, 4.142, 17.267 Å; angles 90.00, 90.00, 90.00 degrees
Atoms (fractional coordinates):
Li (0.000, 0.000, 0.000)
Li (0.000, 0.000, 0.239)
Li (0.000, 0.000, 0.500)
Li (0.000, 0.000, 0.761)
Li (0.000, 0.500, 0.114)
Li (0.000, 0.500, 0.369)
Li (0.000, 0.500, 0.631)
Li (0.000, 0.500, 0.886)
Li (0.500, 0.000, 0.114)
Li (0.500, 0.000, 0.369)
Li (0.500, 0.000, 0.631)
Li (0.500, 0.000, 0.886)
Tl (0.500, 0.500, 0.241)
Tl (0.500, 0.500, 0.500)
Tl (0.500, 0.500, 0.759)
Zn (0.500, 0.500, 0.000)

=====

6.
The following is a GGA-PBE calculation of Li2TlZn after structural relaxation, from Alexandria.

**Energy of formation**: -16.54 kJ/mol of atoms
**Space group**: P4/mmm, No. 123

Cell lengths 3.243, 3.243, 6.820 Å; angles 90.00, 90.00, 90.00 degrees
Atoms (fractional coordinates):
Li (0.000, 0.000, 0.220)
Li (0.000, 0.000, 0.780)
Tl (0.500, 0.500, 0.500)
Zn (0.500, 0.500, 0.000)

=====

7.
The following is a GGA-PBE calculation of Li7TlZn2 after structural relaxation, from Alexandria.

**Excess energy over the best structure of this formula in the dataset**: 191 meV/atom
**Energy of formation**: 9.73 kJ/mol of atoms
**Space group**: Cmmm, No. 65

Cell lengths 7.598, 7.598, 4.650 Å; angles 90.00, 90.00, 122.29 degrees
Atoms (fractional coordinates):
Li (0.000, 0.000, 0.000)
Li (0.203, 0.436, 0.000)
Li (0.278, 0.722, 0.500)
Li (0.436, 0.203, 0.000)
Li (0.564, 0.797, 0.000)
Li (0.722, 0.278, 0.500)
Li (0.797, 0.564, 0.000)
Tl (0.500, 0.500, 0.500)
Zn (0.202, 0.798, 0.000)
Zn (0.798, 0.202, 0.000)

=====

8.
The following is a GGA-PBE calculation of LiTl2Zn after structural relaxation, from Alexandria.

**Energy of formation**: -1.04 kJ/mol of atoms
**Space group**: R-3m, No. 166

Cell lengths 3.441, 3.441, 26.867 Å; angles 90.00, 90.00, 120.00 degrees
Atoms (fractional coordinates):
Li (0.000, 0.000, 0.000)
Li (0.333, 0.667, 0.667)
Li (0.667, 0.333, 0.333)
Tl (0.000, 0.000, 0.249)
Tl (0.000, 0.000, 0.751)
Tl (0.333, 0.667, 0.417)
Tl (0.333, 0.667, 0.916)
Tl (0.667, 0.333, 0.084)
Tl (0.667, 0.333, 0.583)
Zn (0.000, 0.000, 0.500)
Zn (0.333, 0.667, 0.167)
Zn (0.667, 0.333, 0.833)

=====

9.
The following is a GGA-PBE calculation of LiTlZn2 after structural relaxation, from Alexandria.

**Energy of formation**: -2.38 kJ/mol of atoms
**Space group**: I-4m2, No. 119

Cell lengths 4.280, 4.280, 8.056 Å; angles 90.00, 90.00, 90.00 degrees
Atoms (fractional coordinates):
Li (0.000, 0.000, 0.000)
Li (0.500, 0.500, 0.500)
Tl (0.000, 0.500, 0.750)
Tl (0.500, 0.000, 0.250)
Zn (0.000, 0.000, 0.500)
Zn (0.000, 0.500, 0.250)
Zn (0.500, 0.000, 0.750)
Zn (0.500, 0.500, 0.000)

=====

10.
The following is a GGA-PBE calculation of Li5TlZn after structural relaxation, from Alexandria.

**Energy of formation**: -8.69 kJ/mol of atoms
**Space group**: C2/c, No. 15

Cell lengths 5.576, 5.576, 9.990 Å; angles 101.10, 101.10, 59.76 degrees
Atoms (fractional coordinates):
Li (0.144, 0.327, 0.683)
Li (0.189, 0.811, 0.750)
Li (0.290, 0.404, 0.964)
Li (0.327, 0.144, 0.183)
Li (0.404, 0.290, 0.464)
Li (0.596, 0.710, 0.536)
Li (0.673, 0.856, 0.817)
Li (0.710, 0.596, 0.036)
Li (0.811, 0.189, 0.250)
Li (0.856, 0.673, 0.317)
Tl (0.316, 0.684, 0.250)
Tl (0.684, 0.316, 0.750)
Zn (0.000, 0.000, 0.000)
Zn (0.000, 0.000, 0.500)

=====

11.
The following is a GGA-PBE calculation of Li5TlZn after structural relaxation, from Alexandria.

**Energy of formation**: -8.67 kJ/mol of atoms
**Space group**: P4/mmm, No. 123

Cell lengths 4.253, 4.253, 7.470 Å; angles 90.00, 90.00, 90.00 degrees
Atoms (fractional coordinates):
Li (0.000, 0.000, 0.000)
Li (0.000, 0.500, 0.279)
Li (0.000, 0.500, 0.721)
Li (0.500, 0.000, 0.279)
Li (0.500, 0.000, 0.721)
Tl (0.500, 0.500, 0.000)
Zn (0.000, 0.000, 0.500)

=====

12.
The following is a GGA-PBE calculation of LiTlZn2 after structural relaxation, from Alexandria.

**Energy of formation**: -1.36 kJ/mol of atoms
**Space group**: I4/mmm, No. 139

Cell lengths 4.198, 4.198, 8.472 Å; angles 90.00, 90.00, 90.00 degrees
Atoms (fractional coordinates):
Li (0.000, 0.000, 0.000)
Li (0.500, 0.500, 0.500)
Tl (0.000, 0.000, 0.500)
Tl (0.500, 0.500, 0.000)
Zn (0.000, 0.500, 0.250)
Zn (0.000, 0.500, 0.750)
Zn (0.500, 0.000, 0.250)
Zn (0.500, 0.000, 0.750)